This record from Alexandria describes Ac3Cd3Pb2 after structural relaxation. The functional is GGA-PBE.

CIF file:
```
data_Ac3Cd3Pb2
_symmetry_space_group_name_H-M 'C m c m'
_symmetry_Int_Tables_number 63
_symmetry_space_group_name_Hall '-C 2c 2'
_cell_length_a 5.0193
_cell_length_b 12.2325
_cell_length_c 16.9508
_cell_angle_alpha 90.00
_cell_angle_beta 90.00
_cell_angle_gamma 90.00
loop_
_atom_site_label
_atom_site_fract_x
_atom_site_fract_y
_atom_site_fract_z
Ac1 0.0000 0.0812 0.1087
Ac2 0.0000 0.3551 0.2500
Cd1 0.0000 0.3720 0.7500
Cd2 0.0000 0.3877 0.0350
Pb1 0.0000 0.2112 0.6072
```

calculated formation energy	-0.39	eV/atom
energy	-3.204	eV per atom
DOS at the Fermi energy	26.34	states/eV per cell

***

This record from Alexandria describes KCdPb2 after structural relaxation. The functional is GGA-PBE.

CIF file:
```
data_KCdPb2
_symmetry_space_group_name_H-M 'I -4 m 2'
_symmetry_Int_Tables_number 119
_symmetry_space_group_name_Hall 'I -4 -2'
_cell_length_a 5.2060
_cell_length_b 5.2060
_cell_length_c 9.2674
_cell_angle_alpha 90.00
_cell_angle_beta 90.00
_cell_angle_gamma 90.00
loop_
_atom_site_label
_atom_site_fract_x
_atom_site_fract_y
_atom_site_fract_z
K1 0.0000 0.0000 0.0000
Cd1 0.0000 0.5000 0.2500
Pb1 0.0000 0.0000 0.5000
Pb2 0.0000 0.5000 0.7500
```

calculated formation energy	-0.04	eV/atom
energy	-2.393	eV per atom
DOS at the Fermi energy	2.56	states/eV per cell

***

This record from Alexandria describes CaH3Pt after structural relaxation. The functional is GGA-PBE.

CIF file:
```
data_CaH3Pt
_symmetry_space_group_name_H-M 'I -4 m 2'
_symmetry_Int_Tables_number 119
_symmetry_space_group_name_Hall 'I -4 -2'
_cell_length_a 3.7710
_cell_length_b 3.7710
_cell_length_c 16.7369
_cell_angle_alpha 90.00
_cell_angle_beta 90.00
_cell_angle_gamma 90.00
loop_
_atom_site_label
_atom_site_fract_x
_atom_site_fract_y
_atom_site_fract_z
Ca1 0.0000 0.0000 0.1056
H1 0.0000 0.2121 0.3264
H2 0.0000 0.5000 0.5008
Pt1 0.0000 0.0000 0.5000
Pt2 0.0000 0.5000 0.2500
```

energy	-3.924	eV per atom
DOS at the Fermi energy	3.11	states/eV per cell

***

This record from Alexandria describes Li4Sm3ScSe8 after structural relaxation. The functional is GGA-PBE.

CIF file:
```
data_Li4Sm3ScSe8
_symmetry_space_group_name_H-M 'R -3 m'
_symmetry_Int_Tables_number 166
_symmetry_space_group_name_Hall '-R 3 2"'
_cell_length_a 8.1750
_cell_length_b 8.1750
_cell_length_c 19.4901
_cell_angle_alpha 90.00
_cell_angle_beta 90.00
_cell_angle_gamma 120.00
loop_
_atom_site_label
_atom_site_fract_x
_atom_site_fract_y
_atom_site_fract_z
Li1 0.0000 0.0000 0.0000
Li2 0.0000 0.5000 0.0000
Sm1 0.0000 0.5000 0.5000
Sc1 0.0000 0.0000 0.5000
Se1 0.0000 0.0000 0.2534
Se2 0.0156 0.5078 0.2504
```

energy relative to the elements, uncorrected	-1644	meV per atom
energy	-5.146	eV per atom

***

This record from Alexandria describes Li3Tc after structural relaxation. The functional is GGA-PBE.

CIF file:
```
data_Li3Tc
_symmetry_space_group_name_H-M 'P m m n'
_symmetry_Int_Tables_number 59
_cell_length_a 4.5374
_cell_length_b 5.3815
_cell_length_c 4.9249
_cell_angle_alpha 90.00
_cell_angle_beta 90.00
_cell_angle_gamma 90.00
loop_
_symmetry_equiv_pos_as_xyz
'x,y,z'
'-x,-y,-z'
'-x+1/2,-y+1/2,z'
'x+1/2,y+1/2,-z'
'x+1/2,-y,-z'
'-x+1/2,y,z'
'-x,y+1/2,-z'
'x,-y+1/2,z'
loop_
_atom_site_label
_atom_site_fract_x
_atom_site_fract_y
_atom_site_fract_z
Li1 0.2500 0.0037 0.1534
Li2 0.2500 0.2500 0.6550
Tc1 0.2500 0.7500 0.6299
```

calculated formation energy	0.61	eV/atom
energy	-3.413	eV per atom
DOS at the Fermi energy	5.21	states/eV per cell

***

This record from Alexandria describes CaLaAu after structural relaxation. The functional is GGA-PBE.

CIF file:
```
data_CaLaAu
_symmetry_space_group_name_H-M 'C 1 2/c 1'
_symmetry_Int_Tables_number 15
_symmetry_space_group_name_Hall '-C 2yc'
_cell_length_a 10.1994
_cell_length_b 10.4219
_cell_length_c 8.9410
_cell_angle_alpha 90.00
_cell_angle_beta 124.76
_cell_angle_gamma 90.00
loop_
_atom_site_label
_atom_site_fract_x
_atom_site_fract_y
_atom_site_fract_z
Ca1 0.1202 0.1246 0.4898
La1 0.1308 0.3745 0.0119
Au1 0.0000 0.1344 0.7500
Au2 0.0000 0.3841 0.2500
```

calculated formation energy	-0.48	eV/atom
energy	-3.887	eV per atom
DOS at the Fermi energy	23.35	states/eV per cell

***

This record from Alexandria describes Li2YCdH after structural relaxation. The functional is GGA-PBE.

CIF file:
```
data_Li2YCdH
_symmetry_space_group_name_H-M 'P 4/m m m'
_symmetry_Int_Tables_number 123
_symmetry_space_group_name_Hall '-P 4 2'
_cell_length_a 4.4456
_cell_length_b 4.4456
_cell_length_c 4.5931
_cell_angle_alpha 90.00
_cell_angle_beta 90.00
_cell_angle_gamma 90.00
loop_
_atom_site_label
_atom_site_fract_x
_atom_site_fract_y
_atom_site_fract_z
Li1 0.0000 0.5000 0.0000
Y1 0.0000 0.0000 0.5000
Cd1 0.5000 0.5000 0.5000
H1 0.0000 0.0000 0.0000
```

energy	-3.134	eV per atom
DOS at the Fermi energy	3.33	states/eV per cell

***

This record from Alexandria describes CaTe2 after structural relaxation. The functional is GGA-PBE.

CIF file:
```
data_CaTe2
_symmetry_space_group_name_H-M 'C 1 m 1'
_symmetry_Int_Tables_number 8
_symmetry_space_group_name_Hall 'C -2y'
_cell_length_a 11.1309
_cell_length_b 4.6695
_cell_length_c 7.9411
_cell_angle_alpha 90.00
_cell_angle_beta 92.28
_cell_angle_gamma 90.00
loop_
_atom_site_label
_atom_site_fract_x
_atom_site_fract_y
_atom_site_fract_z
Ca1 0.0000 0.0000 0.0000
Ca2 0.2136 0.0000 0.4424
Te1 0.0935 0.5000 0.7381
Te2 0.3143 0.0000 0.0610
Te3 0.3337 0.5000 0.6509
Te4 0.4927 0.0000 0.3416
```

energy relative to the elements, uncorrected	-906	meV per atom
energy	-3.667	eV per atom